# Ba3Mn6F20

A relaxed structure of Ba3Mn6F20 (GGA+U, Alexandria via LeMat-Bulk).

The space group is Fm-3m (No. 225) and the conventional cell measures 11.391, 11.391 and 11.391 Å, with angles of 90.00, 90.00 and 90.00 degrees. The asymmetric unit holds Ba at (0.000, 0.000, 0.000), Ba at (0.250, 0.250, 0.250), Mn at (0.000, 0.000, 0.275), F at (0.000, 0.166, 0.166) and F at (0.112, 0.112, 0.388).

The total energy comes out at -5.850 eV/atom. The value obtained for the volume is 369.5 Å³/f.u. The magnetization is 112.00 μB/cell. The density of states at the Fermi level is 70.98 states/eV/cell.